(1)
Computed, not measured: a crystal of LaAlCl relaxed with PBEsol at the SCAN level of DFT.

The structure in POSCAR format:
```
LaAlCl
1.0
3.573 0.000 0.000
-1.786 3.094 0.000
0.000 0.000 7.013
La Al Cl
1 1 1
Cartesian
0.000 0.000 0.000
1.786 1.031 4.632
0.000 2.063 2.079
```

Calculated values
DOS at the Fermi energy	1.5	states/eV per cell
E	-61.1	eV per cell

---

(2)
Computed, not measured: a crystal of LaAlCl relaxed with PBEsol at the SCAN level of DFT.

The structure in POSCAR format:
```
LaAlCl
1.0
0.000 3.514 3.514
3.514 0.000 3.514
3.514 3.514 0.000
La Al Cl
1 1 1
Cartesian
0.000 0.000 0.000
5.271 5.271 5.271
1.757 1.757 1.757
```

Calculated values
DOS at the Fermi energy	2.6	states/eV per cell
E	-60.0	eV per cell

---

(3)
Computed, not measured: a crystal of Li2AlCl relaxed with PBEsol at the SCAN level of DFT.

The structure in POSCAR format:
```
Li2AlCl
1.0
4.782 0.000 0.000
0.000 4.782 0.000
0.000 0.000 3.147
Li Al Cl
2 1 1
Cartesian
0.000 2.391 0.000
2.391 0.000 0.000
0.000 0.000 1.574
2.391 2.391 1.574
```

Calculated values
DOS at the Fermi energy	1.6	states/eV per cell
ΔE to the lowest computed polymorph	117	meV per atom

---

(4)
Computed, not measured: a crystal of LiAlCl2 relaxed with PBEsol at the SCAN level of DFT.

The structure in POSCAR format:
```
LiAlCl2
1.0
5.773 -1.705 0.000
5.773 1.705 0.000
-2.020 0.000 5.239
Li Al Cl
1 1 2
Cartesian
0.000 0.000 0.000
0.349 0.000 3.733
2.670 0.000 3.960
6.300 0.000 1.852
```

Calculated values
DOS at the Fermi energy	0.0	states/eV per cell
ΔE to the lowest computed polymorph	35	meV per atom

---

(5)
Computed, not measured: a crystal of Li3AlCl relaxed with PBEsol at the SCAN level of DFT.

The structure in POSCAR format:
```
Li3AlCl
1.0
4.577 0.000 0.000
0.000 4.577 0.000
0.000 0.000 4.577
Li Al Cl
3 1 1
Cartesian
0.000 0.000 2.288
0.000 2.288 0.000
2.288 0.000 0.000
2.288 2.288 2.288
0.000 0.000 0.000
```

Calculated values
DOS at the Fermi energy	1.9	states/eV per cell
E	-25.5	eV per cell

---

(6)
Computed, not measured: a crystal of LiAlCl2 relaxed with PBEsol at the SCAN level of DFT.

The structure in POSCAR format:
```
LiAlCl2
1.0
5.203 0.000 0.000
0.000 3.381 0.000
-2.585 0.000 4.941
Li Al Cl
1 1 2
Cartesian
0.000 0.000 0.000
1.942 1.690 1.585
1.342 1.690 3.859
3.684 0.000 2.057
```

Calculated values
ΔE to the lowest computed polymorph	0	meV per atom

---

(7)
Computed, not measured: a crystal of Li2AlCl relaxed with PBEsol at the SCAN level of DFT.

The structure in POSCAR format:
```
Li2AlCl
1.0
1.625 0.938 8.278
-1.625 0.938 8.278
0.000 -1.876 8.278
Li Al Cl
2 1 1
Cartesian
0.000 0.000 0.000
0.000 0.000 5.657
0.000 0.000 11.936
0.000 0.000 17.899
```

Calculated values
DOS at the Fermi energy	0.9	states/eV per cell
ΔE to the lowest computed polymorph	0	meV per atom

---

(8)
Computed, not measured: a crystal of Na2Li2Al3Si3ClO12 relaxed with PBEsol at the SCAN level of DFT.

The structure in POSCAR format:
```
Na2Li2Al3Si3ClO12
1.0
8.642 0.000 0.000
0.000 8.642 0.000
0.000 0.000 8.650
Na Li Al Si Cl O
4 4 6 6 2 24
Cartesian
1.366 2.946 3.551
2.946 7.276 5.100
5.696 1.366 5.100
7.276 5.696 3.551
1.625 5.941 0.543
2.701 1.625 8.108
5.941 7.016 8.108
7.016 2.701 0.543
0.021 6.484 6.540
2.158 0.021 2.110
4.321 4.321 0.000
4.321 4.321 4.325
6.484 8.621 2.110
8.621 2.158 6.540
0.000 0.000 0.000
0.000 0.000 4.325
2.161 4.339 6.536
4.303 2.161 2.114
4.339 6.480 2.114
6.480 4.303 6.536
0.000 4.321 1.680
4.321 0.000 6.970
0.655 7.453 5.232
0.754 1.150 7.757
1.150 7.888 0.893
1.167 3.242 5.864
1.189 0.655 3.419
1.355 5.576 7.260
3.051 4.982 5.330
3.065 1.355 1.390
3.065 3.573 7.670
3.242 7.475 2.787
3.573 5.577 0.980
3.660 3.051 3.320
4.982 5.590 3.320
5.069 3.065 0.980
5.400 1.167 2.787
5.577 5.069 7.670
5.576 7.287 1.390
5.590 3.660 5.330
7.287 3.065 7.260
7.453 7.987 3.419
7.475 5.400 5.864
7.492 0.754 0.893
7.888 7.492 7.757
7.987 1.189 5.232
```

Calculated values
DOS at the Fermi energy	0.0	states/eV per cell
E	-434.7	eV per cell

---

(9)
Computed, not measured: a crystal of LiAlS3Cl4O6 relaxed with PBEsol at the SCAN level of DFT.

The structure in POSCAR format:
```
LiAlS3Cl4O6
1.0
9.587 0.000 0.000
0.000 9.787 0.000
0.000 0.000 13.148
Li Al S Cl O
4 4 12 16 24
Cartesian
1.133 2.447 3.209
3.661 7.340 9.783
5.926 2.447 3.365
8.455 7.340 9.938
2.054 2.447 8.283
2.739 7.340 1.709
6.848 2.447 11.439
7.533 7.340 4.865
1.250 7.340 7.425
1.302 5.312 11.381
1.302 9.369 11.381
3.491 0.419 4.808
3.491 4.475 4.808
3.544 2.447 0.851
6.043 7.340 12.296
6.096 5.312 8.340
6.096 9.369 8.340
8.285 0.419 1.766
8.285 4.475 1.766
8.338 2.447 5.722
0.881 7.340 0.594
0.948 0.694 7.768
0.948 4.199 7.768
2.393 2.447 10.410
2.401 7.340 3.836
3.846 5.588 1.195
3.846 9.093 1.195
3.913 2.447 7.168
5.675 7.340 5.980
5.742 0.694 11.953
5.742 4.199 11.953
7.187 2.447 9.311
7.194 7.340 2.738
8.640 5.588 5.379
8.640 9.093 5.379
8.707 2.447 12.554
0.014 5.730 10.865
0.014 8.951 10.865
0.133 7.340 8.340
2.218 2.447 1.438
2.325 1.027 4.204
2.325 3.866 4.204
2.469 5.921 10.778
2.469 8.760 10.778
2.575 7.340 8.012
4.661 2.447 1.766
4.780 0.836 4.291
4.780 4.057 4.291
4.808 5.730 8.856
4.808 8.951 8.856
4.927 7.340 11.381
7.012 2.447 5.136
7.119 1.027 2.370
7.119 3.866 2.370
7.262 5.921 8.944
7.262 8.760 8.944
7.369 7.340 11.709
9.454 2.447 4.808
9.574 0.836 2.283
9.574 4.057 2.283
```

Calculated values
DOS at the Fermi energy	0.0	states/eV per cell
E	-520.3	eV per cell

---

(10)
Computed, not measured: a crystal of LiAlPCl2 relaxed with PBEsol at the SCAN level of DFT.

The structure in POSCAR format:
```
LiAlPCl2
1.0
4.821 0.000 0.000
0.000 4.821 0.000
0.000 0.000 4.687
Li Al P Cl
1 1 1 2
Cartesian
0.000 0.000 0.000
2.411 2.411 2.343
2.411 2.411 0.000
0.000 2.411 2.343
2.411 0.000 2.343
```

Calculated values
DOS at the Fermi energy	2.2	states/eV per cell
E	-39.7	eV per cell

---

(11)
Computed, not measured: a crystal of MgAlCl3 relaxed with PBEsol at the SCAN level of DFT.

The structure in POSCAR format:
```
MgAlCl3
1.0
4.843 0.000 0.000
0.000 4.843 0.000
0.000 0.000 4.843
Mg Al Cl
1 1 3
Cartesian
0.000 0.000 0.000
2.422 2.422 2.422
0.000 2.422 2.422
2.422 0.000 2.422
2.422 2.422 0.000
```

Calculated values
DOS at the Fermi energy	1.3	states/eV per cell
E	-40.8	eV per cell

---

(12)
Computed, not measured: a crystal of MgAl2Cl relaxed with PBEsol at the SCAN level of DFT.

The structure in POSCAR format:
```
MgAl2Cl
1.0
3.749 0.000 0.000
0.000 3.749 0.000
0.000 0.000 5.929
Mg Al Cl
1 2 1
Cartesian
0.000 0.000 0.000
0.000 1.874 2.964
1.874 0.000 2.964
1.874 1.874 0.000
```

Calculated values
DOS at the Fermi energy	1.0	states/eV per cell
ΔE to the lowest computed polymorph	0	meV per atom

---

Repeat the fourth record exactly.
Computed, not measured: a crystal of LiAlCl2 relaxed with PBEsol at the SCAN level of DFT.

The structure in POSCAR format:
```
LiAlCl2
1.0
5.773 -1.705 0.000
5.773 1.705 0.000
-2.020 0.000 5.239
Li Al Cl
1 1 2
Cartesian
0.000 0.000 0.000
0.349 0.000 3.733
2.670 0.000 3.960
6.300 0.000 1.852
```

Calculated values
DOS at the Fermi energy	0.0	states/eV per cell
ΔE to the lowest computed polymorph	35	meV per atom